Record 1
This record from Alexandria describes a geometry-optimized Tb3Tl2 structure. The functional is PBE-GGA.

```
5
Lattice="-0.533 -3.011 1.881 2.756 0.848 2.139 -8.073 6.561 4.789" Properties=species:S:1:pos:R:3 pbc="T T T"
Tb -2.900 3.791 5.248
Tl 0.039 1.478 2.378
Tb -2.950 0.606 3.561
Tb -0.267 -1.506 0.940
Tl -5.888 2.919 6.431
```

ΔE to the lowest computed polymorph	0.0000	eV per atom
size of the total moment	0.1	μB per cell
theoretical density	10.215	Mg/m³

---

Record 2
This record from Alexandria describes a geometry-optimized RbGe2HPd structure. The functional is PBE-GGA.

```
5
Lattice="-4.567 -2.490 -3.343 1.295 -4.978 1.937 -3.905 0.822 4.723" Properties=species:S:1:pos:R:3 pbc="T T T"
Ge -1.952 0.411 2.361
Pd 0.648 -2.489 0.969
H -3.588 -3.323 1.659
Ge -2.283 -1.245 -1.671
Rb 0.000 0.000 0.000
```

size of the total moment	1.2	μB per cell
theoretical density	2.673	Mg/m³
total DFT energy (no corrections)	-1.699	eV/atom

---

Record 3
This record from Alexandria describes a geometry-optimized HoMgHgRh structure. The functional is PBE-GGA.

```
4
Lattice="4.855 0.000 0.000 2.428 4.205 0.000 2.428 1.402 3.964" Properties=species:S:1:pos:R:3 pbc="T T T"
Ho 4.855 2.803 1.982
Hg 2.428 1.402 0.991
Mg 0.000 0.000 0.000
Rh 7.283 4.205 2.973
```

size of the total moment	0.0	μB per cell
theoretical density	10.109	Mg/m³
total DFT energy (no corrections)	-3.939	eV/atom

---

Record 4
This record from Alexandria describes a geometry-optimized CrCuPt structure. The functional is PBE-GGA.

```
3
Lattice="-1.419 3.150 3.054 0.484 -0.711 4.531 2.517 -0.234 -3.857" Properties=species:S:1:pos:R:3 pbc="T T T"
Pt -0.315 0.823 2.558
Cu -0.622 1.621 5.041
Cr -0.934 2.435 7.572
```

ΔE to the lowest computed polymorph	0.0000	eV per atom
size of the total moment	2.5	μB per cell
theoretical density	12.421	Mg/m³

---

Record 5
This record from Alexandria describes a geometry-optimized MgSbAs2 structure. The functional is PBE-GGA.

```
4
Lattice="-1.683 4.450 1.299 0.712 -1.117 4.750 3.287 1.298 -0.187" Properties=species:S:1:pos:R:3 pbc="T T T"
As -0.486 1.666 3.024
Mg 0.802 2.874 0.556
Sb 1.999 0.090 2.282
As 0.000 0.000 0.000
```

E_form (uncorrected)	58	meV per atom
ΔE to the lowest computed polymorph	0.2283	eV per atom
size of the total moment	0.0	μB per cell
theoretical density	5.710	Mg/m³

---

Record 6
This record from Alexandria describes a geometry-optimized ReBr3O structure. The functional is PBE-GGA.

```
5
Lattice="-1.125 4.838 0.010 -0.257 -0.070 4.960 4.831 1.123 0.266" Properties=species:S:1:pos:R:3 pbc="T T T"
O 1.725 2.946 2.618
Br -0.562 2.419 0.005
Br -0.129 -0.035 2.480
Br 2.416 0.561 0.133
Re 0.000 0.000 0.000
```

E_form (uncorrected)	972	meV per atom
ΔE to the lowest computed polymorph	0.0000	eV per atom
size of the total moment	0.0	μB per cell
theoretical density	5.988	Mg/m³

---

Record 7
This record from Alexandria describes a geometry-optimized Ge3PbAu structure. The functional is PBE-GGA.

```
5
Lattice="-0.645 -2.272 4.523 -0.925 -4.430 -2.357 4.976 -1.118 0.148" Properties=species:S:1:pos:R:3 pbc="T T T"
Ge 2.488 -0.559 0.074
Ge -0.463 -2.215 -1.178
Ge -0.323 -1.136 2.261
Pb 1.703 -3.910 1.157
Au 0.000 0.000 0.000
```

ΔE to the lowest computed polymorph	0.0000	eV per atom
size of the total moment	0.0	μB per cell
theoretical density	7.778	Mg/m³

---

Record 8
This record from Alexandria describes a geometry-optimized YPu3S6 structure. The functional is PBE-GGA.

```
20
Lattice="-3.905 -1.994 3.362 -2.136 -6.090 -6.092 7.818 -4.726 6.278" Properties=species:S:1:pos:R:3 pbc="T T T"
S 0.968 -4.876 5.042
S 4.815 -10.173 1.830
S 4.800 -5.406 4.639
S -3.023 -7.404 -1.091
S 0.871 -2.592 1.744
Pu -0.947 -8.713 0.544
S -3.037 -2.637 1.718
S 0.810 -7.934 -1.494
S -1.156 -3.999 -1.443
Y -2.815 -5.164 0.478
S 0.906 -10.217 1.804
S -1.039 -6.463 1.771
Pu 2.724 -4.097 3.004
S 2.816 -6.347 1.777
Pu 2.815 -6.289 6.349
Y 4.592 -7.645 3.070
Pu -0.989 -1.703 0.111
Pu 2.767 -11.107 3.437
Pu -1.037 -6.521 -2.801
S 2.933 -8.811 4.991
```

E_form (uncorrected)	-1663	meV per atom
size of the total moment	30.0	μB per cell
theoretical density	6.423	Mg/m³

---

Record 9
This record from Alexandria describes a geometry-optimized AcCN2Cl structure. The functional is PBE-GGA.

```
10
Lattice="4.205 0.000 0.000 0.000 5.439 -0.217 0.000 -1.115 7.744" Properties=species:S:1:pos:R:3 pbc="T T T"
Ac 1.051 0.160 5.663
Cl 1.051 2.985 7.248
N 1.051 0.249 2.929
N 1.051 2.683 2.503
C 3.154 2.847 4.826
N 3.154 4.075 4.598
Ac 3.154 4.165 1.864
Cl 3.154 1.339 0.279
C 1.051 1.477 2.700
N 3.154 1.641 5.024
```

E_form (uncorrected)	-1282	meV per atom
size of the total moment	0.0	μB per cell
theoretical density	5.704	Mg/m³

---

Record 10
This record from Alexandria describes a geometry-optimized Cr2SiBr structure. The functional is PBE-GGA.

```
4
Lattice="-0.430 4.342 0.113 -1.349 3.248 -2.585 -6.462 3.066 0.957" Properties=species:S:1:pos:R:3 pbc="T T T"
Cr -0.844 0.689 0.008
Si -2.060 2.664 -0.378
Cr -3.276 4.638 -0.765
Br -6.181 7.991 -1.135
```

E_form (uncorrected)	310	meV per atom
ΔE to the lowest computed polymorph	0.1628	eV per atom
size of the total moment	0.0	μB per cell
theoretical density	4.676	Mg/m³

---

Record 11
This record from Alexandria describes a geometry-optimized Na2InC2O6 structure. The functional is PBE-GGA.

```
11
Lattice="5.297 0.000 0.000 -2.649 4.587 0.000 0.000 0.000 6.389" Properties=species:S:1:pos:R:3 pbc="T T T"
Na 0.000 3.058 2.139
C 2.649 1.529 1.458
O 3.126 2.744 1.481
O 1.358 1.335 1.481
O 1.290 3.252 4.908
In 0.000 0.000 0.000
Na 2.649 1.529 4.250
O 3.462 0.509 1.481
O -0.477 1.844 4.908
C 0.000 3.058 4.931
O -0.813 4.079 4.908
```

E_form (uncorrected)	-1449	meV per atom
size of the total moment	0.0	μB per cell
theoretical density	3.003	Mg/m³

---

Record 12
This record from Alexandria describes a geometry-optimized Mg3CuAu structure. The functional is PBE-GGA.

```
5
Lattice="4.804 0.000 0.000 0.000 4.804 0.000 0.000 0.000 4.804" Properties=species:S:1:pos:R:3 pbc="T T T"
Mg 0.000 0.000 2.402
Cu 0.000 0.000 0.000
Au 2.402 2.402 2.402
Mg 0.000 2.402 0.000
Mg 2.402 0.000 0.000
```

ΔE to the lowest computed polymorph	0.0000	eV per atom
size of the total moment	0.0	μB per cell
theoretical density	4.995	Mg/m³

---

Record 13
This record from Alexandria describes a geometry-optimized Cu2IrPt structure. The functional is PBE-GGA.

```
4
Lattice="-2.430 2.482 2.448 -1.867 3.440 -1.654 -4.211 0.068 -0.562" Properties=species:S:1:pos:R:3 pbc="T T T"
Cu -2.127 1.497 0.058
Ir 0.000 0.000 0.000
Cu -6.381 4.492 0.174
Pt -4.254 2.995 0.116
```

ΔE to the lowest computed polymorph	0.1807	eV per atom
size of the total moment	0.6	μB per cell
theoretical density	15.748	Mg/m³

---

Record 14
This record from Alexandria describes a geometry-optimized NaCuBr4 structure. The functional is PBE-GGA.

```
6
Lattice="4.019 -0.032 -1.074 -1.225 6.113 -3.215 0.056 0.061 7.488" Properties=species:S:1:pos:R:3 pbc="T T T"
Na 1.425 3.071 1.599
Br 2.997 0.612 0.656
Br -0.274 2.243 4.485
Br 3.123 3.899 -1.286
Br -0.147 5.530 2.542
Cu 0.028 0.030 3.744
```

E_form (uncorrected)	-598	meV per atom
size of the total moment	0.0	μB per cell
theoretical density	3.647	Mg/m³

---

Record 15
This record from Alexandria describes a geometry-optimized ZnReSe2 structure. The functional is PBE-GGA.

```
4
Lattice="5.113 0.024 0.000 2.018 4.698 0.000 -3.565 -2.361 2.803" Properties=species:S:1:pos:R:3 pbc="T T T"
Se 1.009 2.349 1.401
Re 2.556 0.012 1.401
Se 0.000 0.000 0.000
Zn 3.565 2.361 0.000
```

E_form (uncorrected)	794	meV per atom
ΔE to the lowest computed polymorph	0.7172	eV per atom
size of the total moment	0.3	μB per cell
theoretical density	10.121	Mg/m³

---

Record 16
This record from Alexandria describes a geometry-optimized Ac4Sm5Ho2 structure. The functional is PBE-GGA.

```
11
Lattice="-1.732 -4.261 2.695 7.205 -0.356 4.069 -7.689 7.913 2.297" Properties=species:S:1:pos:R:3 pbc="T T T"
Ac -0.694 -0.187 4.531
Ho -5.071 4.623 4.049
Ac -4.050 2.923 7.290
Sm -4.310 0.977 4.046
Ac 1.834 0.374 1.771
Sm 2.094 2.320 5.014
Ac -1.522 3.484 4.530
Sm -1.754 1.571 1.356
Sm -0.462 1.726 7.704
Ho 2.855 -1.326 5.011
Sm -0.866 -2.130 1.348
```

size of the total moment	0.0	μB per cell
theoretical density	8.113	Mg/m³
total DFT energy (no corrections)	-4.422	eV/atom

---

Record 17
This record from Alexandria describes a geometry-optimized CaCdAg structure. The functional is PBE-GGA.

```
3
Lattice="4.883 0.000 0.000 -2.442 4.229 0.000 0.000 0.000 3.678" Properties=species:S:1:pos:R:3 pbc="T T T"
Ca 2.442 1.410 1.226
Cd 0.000 2.819 3.068
Ag 0.000 0.000 3.062
```

size of the total moment	0.0	μB per cell
theoretical density	5.692	Mg/m³
total DFT energy (no corrections)	-2.225	eV/atom

---

Record 18
This record from Alexandria describes a geometry-optimized BPbClF4 structure. The functional is PBE-GGA.

```
14
Lattice="-1.480 4.769 -4.126 -1.309 -2.473 -5.842 -7.007 -0.127 -0.164" Properties=species:S:1:pos:R:3 pbc="T T T"
Pb -3.279 1.818 -8.001
F -6.727 1.057 -5.131
Cl -1.725 0.042 -0.349
B -2.804 0.806 -3.680
F -1.980 -0.382 -3.581
F -7.763 0.311 -7.082
F -3.986 0.603 -2.941
Cl -8.071 2.127 -9.784
F -3.069 1.112 -5.001
B -6.993 1.364 -6.452
F -5.811 1.567 -7.191
Pb -6.518 0.351 -2.132
F -2.033 1.858 -3.051
F -7.816 2.551 -6.551
```

E_form (uncorrected)	-2414	meV per atom
size of the total moment	0.0	μB per cell
theoretical density	4.121	Mg/m³

---

Record 19
This record from Alexandria describes a geometry-optimized NbV14W structure. The functional is PBE-GGA.

```
16
Lattice="5.249 0.188 0.000 -1.884 4.903 0.000 0.000 0.000 8.587" Properties=species:S:1:pos:R:3 pbc="T T T"
V 0.794 3.133 6.518
V -0.051 1.862 4.293
V 0.794 3.133 2.069
V 4.355 0.779 2.069
V 1.743 0.699 6.522
W 2.574 1.956 4.293
Nb -0.993 4.314 4.293
V 4.355 0.779 6.518
V 2.574 1.956 0.000
V 3.405 3.213 6.522
V 1.632 4.408 4.293
V -0.050 1.862 0.000
V 1.632 4.408 0.000
V -0.992 4.313 0.000
V 1.743 0.699 2.065
V 3.405 3.213 2.065
```

size of the total moment	0.0	μB per cell
theoretical density	7.338	Mg/m³
total DFT energy (no corrections)	-9.413	eV/atom

---

Record 20
This record from Alexandria describes a geometry-optimized Na2ZrAg2 structure. The functional is PBE-GGA.

```
10
Lattice="8.733 0.000 0.000 0.000 8.733 0.000 0.000 0.000 2.901" Properties=species:S:1:pos:R:3 pbc="T T T"
Zr 0.000 0.000 0.000
Na 5.465 7.634 1.450
Zr 4.366 4.366 0.000
Ag 2.834 7.200 0.000
Ag 7.200 5.899 0.000
Na 3.267 1.099 1.450
Ag 1.533 2.834 0.000
Ag 5.899 1.533 0.000
Na 7.634 3.267 1.450
Na 1.099 5.465 1.450
```

size of the total moment	0.0	μB per cell
theoretical density	5.299	Mg/m³
total DFT energy (no corrections)	-3.065	eV/atom

---

Record 21
This record from Alexandria describes a geometry-optimized KH3O2 structure. The functional is PBE-GGA.

```
12
Lattice="-2.461 0.210 0.474 1.126 2.089 4.916 2.943 10.962 3.741" Properties=species:S:1:pos:R:3 pbc="T T T"
O 1.697 8.149 5.190
H 1.147 4.940 3.762
K 0.464 6.060 6.387
O -0.089 5.112 3.941
H 0.614 10.146 5.355
H 2.022 11.128 5.553
O 0.775 11.013 5.806
K 1.144 7.201 2.744
H -0.414 2.133 3.578
O 0.833 2.248 3.325
H 0.994 3.115 3.776
H 0.461 8.321 5.369
```

size of the total moment	0.0	μB per cell
theoretical density	2.077	Mg/m³
total DFT energy (no corrections)	-4.390	eV/atom

---

Record 22
This record from Alexandria describes a geometry-optimized Pr5DyTl5 structure. The functional is PBE-GGA.

```
11
Lattice="-3.976 -4.251 -0.756 7.937 -4.019 3.641 -4.168 2.990 5.107" Properties=species:S:1:pos:R:3 pbc="T T T"
Dy 0.000 0.000 0.000
Tl 0.308 -0.825 3.019
Tl -1.988 0.822 5.830
Pr -0.510 -3.899 1.820
Pr 2.780 -3.351 4.220
Tl -1.988 -2.125 -0.378
Pr -2.987 -1.929 3.772
Pr -2.084 1.495 2.554
Tl -0.514 -4.455 4.972
Tl 1.782 -6.103 2.161
Pr 0.303 -1.381 6.171
```

size of the total moment	0.5	μB per cell
theoretical density	8.800	Mg/m³
total DFT energy (no corrections)	-3.838	eV/atom

---

Record 23
This record from Alexandria describes a geometry-optimized Tb2NdY8 structure. The functional is PBE-GGA.

```
11
Lattice="6.502 0.271 -1.528 -0.987 5.805 -3.171 0.626 1.097 8.866" Properties=species:S:1:pos:R:3 pbc="T T T"
Tb 2.071 2.034 3.079
Y 5.405 3.857 -1.675
Nd 0.000 0.000 0.000
Y 1.946 5.107 -1.651
Y 2.414 2.357 -0.148
Y 5.255 1.866 1.779
Y 0.736 3.316 5.841
Tb 4.070 5.139 1.087
Y 0.886 5.308 2.387
Y 3.727 4.816 4.315
Y 4.194 2.066 5.817
```

ΔE to the lowest computed polymorph	0.0216	eV per atom
size of the total moment	0.0	μB per cell
theoretical density	5.319	Mg/m³

---

Record 24
This record from Alexandria describes a geometry-optimized TiNb2P2 structure. The functional is PBE-GGA.

```
5
Lattice="3.953 0.000 0.000 0.000 3.953 0.000 1.976 1.976 5.326" Properties=species:S:1:pos:R:3 pbc="T T T"
Ti 0.000 0.000 0.000
P 3.953 3.953 4.239
Nb 1.976 3.953 2.663
P 1.976 1.976 1.087
Nb 3.953 1.976 2.663
```

ΔE to the lowest computed polymorph	0.4328	eV per atom
size of the total moment	0.0	μB per cell
theoretical density	5.898	Mg/m³

---

Record 25
This record from Alexandria describes a geometry-optimized CeGdNi structure. The functional is PBE-GGA.

```
3
Lattice="-2.659 -3.510 -1.837 0.289 -1.028 -4.650 2.063 -4.061 -1.422" Properties=species:S:1:pos:R:3 pbc="T T T"
Ni -0.077 -2.150 -1.977
Ce -0.153 -4.300 -3.955
Gd 0.000 0.000 0.000
```

ΔE to the lowest computed polymorph	0.1231	eV per atom
size of the total moment	8.3	μB per cell
theoretical density	7.697	Mg/m³